Entry 1:
TaCuSn2Au | PBE | optimized geometry

The value obtained for the total DFT energy (no corrections) is -4.314 eV per atom. The value obtained for the formation energy is 1132 meV per atom.

The space group is P4/mmm (No. 123) and the conventional cell measures 5.216, 5.216 and 4.661 Å, with angles of 90.00, 90.00 and 90.00 degrees. The asymmetric unit holds Ta at (0.000, 0.000, 0.000), Cu at (0.500, 0.500, 0.000), Sn at (0.000, 0.500, 0.500) and Au at (0.500, 0.500, 0.500).

Entry 2:
Tb3Nd2Ho6Tl | PBE | optimized geometry

The value obtained for the total DFT energy (no corrections) is -4.468 eV per atom. The value obtained for the formation energy is -30 meV per atom.

The space group is C2/m (No. 12) and the conventional cell measures 6.095, 10.565 and 11.730 Å, with angles of 90.00, 100.06 and 90.00 degrees. The asymmetric unit holds Tb at (0.000, 0.000, 0.000), Tb at (0.000, 0.333, 0.000), Nd at (0.000, 0.166, 0.500), Ho at (0.245, 0.500, 0.249), Ho at (0.246, 0.336, 0.750) and Tl at (0.000, 0.500, 0.500).

total DFT energy (no corrections) of number 2 (Tb3Nd2Ho6Tl)? -4.468 eV per atom